[1]
{"formula": "BaH3Ru", "functional": "PBE", "state": "relaxed", "polymorph_energy_mev_per_atom": 0, "space_group": "Pm-3m", "lattice": [[3.912, 0.000, 0.000], [0.000, 3.912, 0.000], [0.000, 0.000, 3.912]], "species": ["Ru", "H", "H", "H", "Ba"], "frac_coords": [[0.000, 0.000, 0.000], [0.000, 0.500, 0.000], [0.500, 0.000, 0.000], [0.000, 0.000, 0.500], [0.500, 0.500, 0.500]]}

***

[2]
{"formula": "Ta2CrBiS", "functional": "PBE", "state": "relaxed", "e_form_raw_kj_per_mol_atoms": 222, "space_group": "P4/mmm", "lattice": [[-2.931, -1.847, -4.008], [4.409, -1.018, -2.755], [0.186, -4.756, 2.056]], "species": ["Ta", "Ta", "Cr", "Bi", "S"], "frac_coords": [[0.500, 0.000, 0.000], [0.000, 0.500, 0.000], [0.500, 0.500, 0.500], [0.000, 0.000, 0.000], [0.000, 0.000, 0.500]]}

***

[3]
{"formula": "Er3Ge4Pt2", "functional": "PBE", "state": "relaxed", "space_group": "C2/m", "formation_enthalpy_0k_kj_per_mol_atoms": -89.1, "lattice": [[-2.123, 2.240, 3.160], [-3.286, -3.678, -2.687], [4.130, -4.272, 5.802]], "species": ["Ge", "Ge", "Ge", "Ge", "Er", "Er", "Er", "Pt", "Pt"], "frac_coords": [[0.903, 0.806, 0.574], [0.097, 0.194, 0.426], [0.277, 0.555, 0.939], [0.723, 0.445, 0.061], [0.359, 0.718, 0.313], [0.641, 0.282, 0.687], [0.000, 0.000, 0.000], [0.644, 0.288, 0.312], [0.356, 0.712, 0.688]]}

***

[4]
{"formula": "BaPm5Hg6", "functional": "PBE", "state": "relaxed", "space_group": "Immm", "formation_enthalpy_0k_kj_per_mol_atoms": -43.0, "lattice": [[-2.536, 4.020, -2.680], [-6.591, -4.106, 0.076], [2.493, 3.498, 8.444]], "species": ["Hg", "Hg", "Hg", "Hg", "Hg", "Hg", "Pm", "Pm", "Pm", "Pm", "Pm", "Ba"], "frac_coords": [[0.825, 0.089, 0.649], [0.500, 0.723, 0.000], [0.825, 0.560, 0.649], [0.175, 0.911, 0.351], [0.175, 0.440, 0.351], [0.500, 0.277, 0.000], [0.340, 0.840, 0.679], [0.660, 0.160, 0.321], [0.000, 0.500, 0.000], [0.330, 0.330, 0.660], [0.670, 0.670, 0.340], [0.000, 0.000, 0.000]]}

***

[5]
{"formula": "ZrPd5Pt4", "functional": "PBE", "state": "relaxed", "space_group": "C2/m", "formation_enthalpy_0k_kj_per_mol_atoms": -20.2, "lattice": [[3.994, 0.000, -1.107], [-0.944, 6.124, -3.406], [-0.175, -0.012, 7.125]], "species": ["Zr", "Pd", "Pd", "Pd", "Pd", "Pd", "Pt", "Pt", "Pt", "Pt"], "frac_coords": [[0.500, 0.000, 0.000], [0.831, 0.279, 0.662], [0.171, 0.108, 0.342], [0.169, 0.721, 0.338], [0.829, 0.892, 0.658], [0.500, 0.500, 0.000], [0.972, 0.719, 0.943], [0.028, 0.281, 0.057], [0.680, 0.426, 0.360], [0.320, 0.574, 0.640]]}

***

[6]
{"formula": "KRePS2", "functional": "PBE", "state": "relaxed", "polymorph_energy_mev_per_atom": 0, "e_form_raw_kj_per_mol_atoms": -7, "space_group": "P4/mmm", "lattice": [[4.812, 0.000, 0.000], [0.000, 4.812, 0.000], [0.000, 0.000, 4.650]], "species": ["K", "S", "S", "Re", "P"], "frac_coords": [[0.500, 0.500, 0.500], [0.000, 0.500, 0.000], [0.500, 0.000, 0.000], [0.000, 0.000, 0.000], [0.000, 0.000, 0.500]]}

***

[7]
{"formula": "RbInBiTe3", "functional": "PBE", "state": "relaxed", "e_form_raw_kj_per_mol_atoms": -43, "space_group": "P2_1/m", "lattice": [[5.071, 0.000, 0.000], [0.000, 9.492, -0.200], [0.000, -2.757, 10.566]], "species": ["Bi", "Bi", "Te", "Te", "Te", "Te", "Te", "Te", "In", "In", "Rb", "Rb"], "frac_coords": [[0.250, 0.670, 0.124], [0.750, 0.330, 0.876], [0.250, 0.784, 0.460], [0.250, 0.110, 0.873], [0.750, 0.216, 0.540], [0.750, 0.467, 0.157], [0.250, 0.533, 0.843], [0.750, 0.890, 0.127], [0.250, 0.104, 0.608], [0.750, 0.896, 0.392], [0.750, 0.790, 0.761], [0.250, 0.210, 0.239]]}

***

[8]
{"formula": "NaAg2PbF8", "functional": "PBE", "state": "relaxed", "e_form_raw_kj_per_mol_atoms": -164, "space_group": "I-4m2", "lattice": [[5.521, 0.000, 0.000], [0.000, 5.521, 0.000], [-2.761, -2.761, 5.526]], "species": ["F", "F", "F", "F", "F", "F", "F", "F", "Ag", "Ag", "Pb", "Na"], "frac_coords": [[0.633, 0.133, 0.735], [0.102, 0.133, 0.736], [0.397, 0.898, 0.264], [0.867, 0.898, 0.265], [0.867, 0.366, 0.264], [0.634, 0.603, 0.736], [0.102, 0.603, 0.735], [0.397, 0.367, 0.265], [0.250, 0.750, 0.500], [0.500, 0.500, 0.000], [0.750, 0.250, 0.500], [0.000, 0.000, 0.000]]}

***

[9]
{"formula": "Eu2Cd4Ni", "functional": "PBE", "state": "relaxed", "space_group": "I4/mmm", "formation_enthalpy_0k_kj_per_mol_atoms": -8.5, "lattice": [[4.977, 0.000, 0.000], [0.000, 4.977, 0.000], [2.489, 2.489, 8.267]], "species": ["Cd", "Cd", "Cd", "Cd", "Eu", "Eu", "Ni"], "frac_coords": [[0.154, 0.154, 0.691], [0.500, 0.000, 0.000], [0.846, 0.846, 0.309], [0.000, 0.500, 0.000], [0.354, 0.354, 0.293], [0.646, 0.646, 0.707], [0.000, 0.000, 0.000]]}

***

[10]
{"formula": "UNbS2", "functional": "PBE", "state": "relaxed", "polymorph_energy_mev_per_atom": 73, "e_form_raw_kj_per_mol_atoms": -92, "space_group": "R3m", "lattice": [[3.449, 0.000, 0.000], [1.725, 2.987, 0.000], [1.725, 0.996, 7.026]], "species": ["Nb", "U", "S", "S"], "frac_coords": [[0.498, 0.498, 0.507], [0.667, 0.667, 0.998], [0.243, 0.243, 0.270], [0.092, 0.092, 0.725]]}

***

[11]
{"formula": "HoTh2Nb", "functional": "PBE", "state": "relaxed", "polymorph_energy_mev_per_atom": 0, "space_group": "P4/mmm", "formation_enthalpy_0k_kj_per_mol_atoms": 15.8, "lattice": [[-0.557, 2.236, -2.850], [-0.383, -2.904, -2.203], [-8.257, -0.084, 1.548]], "species": ["Nb", "Th", "Th", "Ho"], "frac_coords": [[0.500, 0.500, 0.000], [0.000, 0.000, 0.782], [0.000, 0.000, 0.218], [0.500, 0.500, 0.500]]}

***

[12]
{"formula": "ZnCdPt6", "functional": "PBE", "state": "relaxed", "space_group": "P4/mmm", "formation_enthalpy_0k_kj_per_mol_atoms": -24.9, "lattice": [[-3.423, 2.060, -0.036], [-0.453, -0.684, 3.910], [3.991, 6.661, 1.628]], "species": ["Pt", "Pt", "Pt", "Pt", "Pt", "Pt", "Cd", "Zn"], "frac_coords": [[0.000, 0.500, 0.740], [0.500, 0.000, 0.740], [0.500, 0.500, 0.000], [0.500, 0.000, 0.260], [0.500, 0.500, 0.500], [0.000, 0.500, 0.260], [0.000, 0.000, 0.000], [0.000, 0.000, 0.500]]}

***

| no. | magnetization (μB per formula unit) | total DFT energy (no corrections) (eV per atom) | density of states at the Fermi level (states/eV per cell) |
| --- | --- | --- | --- |
| 1 | 0.00 | -4.48 | 1.569 |
| 2 | 1.94 | -5.97 | 9.814 |
| 3 | 0.00 | -5.84 | 3.333 |
| 4 | 0.73 | -2.74 | 12.413 |
| 5 | 0.00 | -6.08 | 9.054 |
| 6 | 0.00 | -5.52 | 3.653 |
| 7 | 0.00 | -3.29 | 4.113 |
| 8 | 1.14 | -3.84 | 11.463 |
| 9 | 15.00 | -4.37 | 20.934 |
| 10 | 2.71 | -8.36 | 5.239 |
| 11 | 0.00 | -7.21 | 6.162 |
| 12 | 0.00 | -5.06 | 7.625 |